Entry 1:
First-principles (PBE-GGA) data for an optimized crystal structure of AgAs2Au, as listed in Alexandria.

The energy is -3.709 eV/atom. As for the crystal system: monoclinic. The value obtained for the energy above the most stable polymorph in this dataset is 0.000 eV/atom.

It has space group Pm (No. 6), with a = 2.777 Å, b = 5.399 Å, c = 5.272 Å, α = 90.00°, β = 90.32° and γ = 90.00°. The inequivalent atoms are Ag at (0.000, 0.000, 0.000), As at (0.501, 0.000, 0.501), As at (0.501, 0.500, 0.502) and Au at (0.500, 0.500, 0.002).

---

Entry 2:
First-principles (PBE-GGA) data for an optimized crystal structure of AgAsAu2, as listed in Alexandria.

The energy is -3.391 eV/atom. As for the crystal system: tetragonal.

It has space group I-4m2 (No. 119), with a = 4.143 Å, b = 4.143 Å, c = 8.557 Å, α = 90.00°, β = 90.00° and γ = 90.00°. The inequivalent atoms are Ag at (0.000, 0.000, 0.000), As at (0.000, 0.500, 0.750), Au at (0.000, 0.000, 0.500) and Au at (0.000, 0.500, 0.250).

---

Entry 3:
First-principles (PBE-GGA) data for an optimized crystal structure of AgAs2Au, as listed in Alexandria.

The energy is -3.632 eV/atom. As for the crystal system: tetragonal. The value obtained for the energy above the most stable polymorph in this dataset is 0.077 eV/atom.

It has space group P4/mmm (No. 123), with a = 4.118 Å, b = 4.118 Å, c = 4.459 Å, α = 90.00°, β = 90.00° and γ = 90.00°. The inequivalent atoms are Ag at (0.000, 0.000, 0.000), As at (0.000, 0.500, 0.500) and Au at (0.500, 0.500, 0.000).

---

Entry 4:
First-principles (PBE-GGA) data for an optimized crystal structure of AgAsAu2, as listed in Alexandria.

The energy is -3.444 eV/atom. As for the crystal system: monoclinic.

It has space group Pm (No. 6), with a = 2.894 Å, b = 4.916 Å, c = 5.298 Å, α = 90.00°, β = 90.07° and γ = 90.00°. The inequivalent atoms are Ag at (0.000, 0.000, 0.000), As at (0.506, 0.500, 0.683), Au at (0.501, 0.500, 0.174) and Au at (0.502, 0.000, 0.493).

---

Entry 5:
First-principles (PBE-GGA) data for an optimized crystal structure of Ag2AsAu, as listed in Alexandria.

The energy is -3.312 eV/atom. As for the crystal system: monoclinic.

It has space group P2/m (No. 10), with a = 2.975 Å, b = 4.242 Å, c = 5.811 Å, α = 90.00°, β = 90.17° and γ = 90.00°. The inequivalent atoms are Ag at (0.001, 0.000, 0.250), As at (0.500, 0.500, 0.000) and Au at (0.500, 0.500, 0.500).

---

Entry 6:
First-principles (PBE-GGA) data for an optimized crystal structure of AgAsAu3, as listed in Alexandria.

The energy is -3.056 eV/atom. As for the crystal system: cubic.

It has space group Pm-3m (No. 221), with a = 4.913 Å, b = 4.913 Å, c = 4.913 Å, α = 90.00°, β = 90.00° and γ = 90.00°. The inequivalent atoms are Ag at (0.000, 0.000, 0.000), As at (0.500, 0.500, 0.500) and Au at (0.000, 0.500, 0.500).